## w
{
  "formula": "PuHgOs",
  "functional": "PBE",
  "state": "optimized geometry",
  "lattice_angstrom": [[0.000, 3.278, 3.278], [3.278, 0.000, 3.278], [3.278, 3.278, 0.000]],
  "species": ["Hg", "Os", "Pu"],
  "fractional_positions": [[0.250, 0.250, 0.250], [0.750, 0.750, 0.750], [0.000, 0.000, 0.000]]
}

=====

## x
{
  "formula": "PuHgOs",
  "functional": "PBE",
  "state": "optimized geometry",
  "lattice_angstrom": [[0.008, 2.747, 3.705], [1.948, 4.174, -0.229], [-2.637, 3.783, 0.072]],
  "species": ["Hg", "Os", "Pu"],
  "fractional_positions": [[0.250, 0.250, 0.250], [0.000, 0.000, 0.000], [0.750, 0.750, 0.750]]
}

=====

Which structure is the most stable? The one labeled x.

=====

## w
{
  "formula": "UHgOs",
  "functional": "PBE",
  "state": "optimized geometry",
  "lattice_angstrom": [[0.000, 3.277, 3.277], [3.277, 0.000, 3.277], [3.277, 3.277, 0.000]],
  "species": ["Hg", "Os", "U"],
  "fractional_positions": [[0.250, 0.250, 0.250], [0.000, 0.000, 0.000], [0.750, 0.750, 0.750]]
}

=====

## x
{
  "formula": "UHgOs",
  "functional": "PBE",
  "state": "optimized geometry",
  "lattice_angstrom": [[2.594, 1.944, 3.403], [-0.081, 4.655, 0.649], [-2.087, 1.807, 3.805]],
  "species": ["Hg", "Os", "U"],
  "fractional_positions": [[0.250, 0.250, 0.250], [0.750, 0.750, 0.750], [0.000, 0.000, 0.000]]
}

=====

Which structure is the most stable? The one labeled w.

=====

## w
{
  "formula": "HgP5",
  "functional": "PBE",
  "state": "optimized geometry",
  "lattice_angstrom": [[5.367, 0.000, 0.000], [0.000, 9.600, 0.000], [-1.785, 0.000, 5.263]],
  "species": ["Hg", "Hg", "P", "P", "P", "P", "P", "P", "P", "P", "P", "P"],
  "fractional_positions": [[0.765, 0.750, 0.193], [0.235, 0.250, 0.807], [0.709, 0.011, 0.120], [0.709, 0.489, 0.120], [0.352, 0.250, 0.350], [0.645, 0.080, 0.476], [0.645, 0.420, 0.476], [0.355, 0.580, 0.524], [0.355, 0.920, 0.524], [0.648, 0.750, 0.650], [0.291, 0.511, 0.880], [0.291, 0.989, 0.880]]
}

=====

## x
{
  "formula": "HgP5",
  "functional": "PBE",
  "state": "optimized geometry",
  "lattice_angstrom": [[-1.014, 6.058, -2.167], [-3.640, -2.320, -4.784], [-9.882, 0.883, 7.092]],
  "species": ["Hg", "Hg", "Hg", "Hg", "P", "P", "P", "P", "P", "P", "P", "P", "P", "P", "P", "P", "P", "P", "P", "P", "P", "P", "P", "P"],
  "fractional_positions": [[0.000, 0.454, 0.332], [0.500, 0.243, 0.490], [0.000, 0.546, 0.832], [0.500, 0.757, 0.990], [0.500, 0.169, 0.010], [0.000, 0.154, 0.010], [0.000, 0.817, 0.035], [0.246, 0.277, 0.119], [0.754, 0.277, 0.119], [0.000, 0.834, 0.214], [0.500, 0.814, 0.224], [0.252, 0.046, 0.262], [0.748, 0.046, 0.262], [0.500, 0.610, 0.375], [0.500, 0.831, 0.510], [0.000, 0.846, 0.510], [0.000, 0.183, 0.535], [0.246, 0.723, 0.619], [0.754, 0.723, 0.619], [0.000, 0.166, 0.714], [0.500, 0.186, 0.724], [0.252, 0.954, 0.762], [0.748, 0.954, 0.762], [0.500, 0.390, 0.875]]
}

=====

Which structure is the most stable? The one labeled x.

=====

## w
{
  "formula": "HgPS4",
  "functional": "PBE",
  "state": "optimized geometry",
  "lattice_angstrom": [[5.896, 0.000, 0.000], [1.217, 7.010, 0.000], [0.083, 1.840, 8.154]],
  "species": ["Hg", "Hg", "P", "P", "S", "S", "S", "S", "S", "S", "S", "S"],
  "fractional_positions": [[0.000, 0.000, 0.000], [0.500, 0.500, 0.500], [0.730, 0.251, 0.246], [0.270, 0.749, 0.754], [0.304, 0.691, 0.006], [0.958, 0.989, 0.307], [0.849, 0.472, 0.328], [0.419, 0.236, 0.356], [0.581, 0.764, 0.644], [0.151, 0.528, 0.672], [0.042, 0.011, 0.693], [0.696, 0.309, 0.994]]
}

=====

## x
{
  "formula": "HgPS4",
  "functional": "PBE",
  "state": "optimized geometry",
  "lattice_angstrom": [[3.530, -3.330, -3.577], [3.405, -1.956, 4.574], [-6.000, -0.585, 0.007]],
  "species": ["Hg", "P", "S", "S", "S", "S"],
  "fractional_positions": [[0.000, 0.000, 0.000], [0.750, 0.250, 0.500], [0.639, 0.198, 0.087], [0.802, 0.889, 0.441], [0.448, 0.361, 0.559], [0.111, 0.552, 0.913]]
}

=====

Which structure is the most stable? The one labeled x.

=====

## w
{
  "formula": "HgPSeS2",
  "functional": "PBE",
  "state": "optimized geometry",
  "lattice_angstrom": [[-1.134, -0.102, -6.277], [-1.188, -5.421, 3.437], [-5.502, 4.169, 3.010]],
  "species": ["Hg", "Hg", "P", "P", "S", "S", "S", "S", "Se", "Se"],
  "fractional_positions": [[0.132, 0.758, 0.353], [0.868, 0.242, 0.647], [0.455, 0.445, 0.337], [0.545, 0.555, 0.663], [0.090, 0.349, 0.198], [0.708, 0.736, 0.272], [0.292, 0.264, 0.728], [0.910, 0.651, 0.802], [0.508, 0.132, 0.276], [0.492, 0.868, 0.724]]
}

=====

## x
{
  "formula": "HgPSeS2",
  "functional": "PBE",
  "state": "optimized geometry",
  "lattice_angstrom": [[6.433, 0.000, 0.000], [-3.091, 5.682, 0.000], [-0.608, -2.828, 7.032]],
  "species": ["Hg", "Hg", "P", "P", "S", "S", "S", "S", "Se", "Se"],
  "fractional_positions": [[0.746, 0.126, 0.359], [0.254, 0.874, 0.641], [0.437, 0.453, 0.339], [0.563, 0.547, 0.661], [0.345, 0.092, 0.202], [0.150, 0.506, 0.301], [0.850, 0.494, 0.699], [0.655, 0.908, 0.798], [0.757, 0.714, 0.257], [0.243, 0.286, 0.743]]
}

=====

Which structure is the most stable? The one labeled w.

=====

## w
{
  "formula": "PaHgPb",
  "functional": "PBE",
  "state": "optimized geometry",
  "lattice_angstrom": [[0.000, 3.647, 3.647], [3.647, 0.000, 3.647], [3.647, 3.647, 0.000]],
  "species": ["Hg", "Pa", "Pb"],
  "fractional_positions": [[0.250, 0.250, 0.250], [0.000, 0.000, 0.000], [0.750, 0.750, 0.750]]
}

=====

## x
{
  "formula": "PaHgPb",
  "functional": "PBE",
  "state": "optimized geometry",
  "lattice_angstrom": [[0.000, 3.556, 3.556], [3.556, 0.000, 3.556], [3.556, 3.556, 0.000]],
  "species": ["Hg", "Pa", "Pb"],
  "fractional_positions": [[0.000, 0.000, 0.000], [0.250, 0.250, 0.250], [0.750, 0.750, 0.750]]
}

=====

Which structure is the most stable? The one labeled w.